Density functional theory data (meta-GGA SCAN) for a PBEsol-optimized structure of CaGePd3.

Output
E   -24.54 eV/atom
Spin magnetization   0.0 μB per formula unit

a b c (Å): 4.781 4.781 4.781
angles (deg): 90.00 90.00 90.00
Positions (direct):
Pd1 0.000 0.500 0.000
Pd2 0.000 0.000 0.500
Pd3 0.500 0.000 0.000
Ca1 0.000 0.000 0.000
Ge1 0.500 0.500 0.500